NiSbOsO after structural relaxation. Source: Alexandria, functional PBE with a Hubbard U.

Its crystal system is orthorhombic. The value obtained for the total magnetization is 0.0 μB per formula unit. For the distance to the lowest polymorph of the same formula, the calculation gives 0.616 eV/f.u. Its density of states at the Fermi level is 2.49 states/eV per cell.

The space group is Amm2 (No. 38) and the conventional cell measures 3.7510, 3.0012 and 11.0795 Å, with angles of 90.00, 90.00 and 90.00 degrees. The asymmetric unit holds Ni at (0.0000, 0.0000, 0.0000), Sb at (0.5000, 0.0000, 0.5818), Os at (0.5000, 0.0000, 0.8223) and O at (0.0000, 0.0000, 0.8194).